# 1
{
  "formula": "BeCoHg",
  "functional": "PBE",
  "state": "optimized geometry",
  "de_polymorph_mev_per_atom": 165.0,
  "ef_ev_per_atom": 0.392,
  "lattice_angstrom": [[-0.663, -3.368, -1.755], [3.583, 0.948, 1.063], [-0.464, -1.353, 2.771]],
  "species": ["Co", "Be", "Hg"],
  "frac_coords": [[0.667, 0.333, 0.166], [0.000, 0.000, 0.169], [0.333, 0.667, 0.666]]
}


# 2
{
  "formula": "Sr2CaInAg6",
  "functional": "PBE",
  "state": "optimized geometry",
  "ef_ev_per_atom": 0.195,
  "lattice_angstrom": [[-6.275, -4.148, -1.505], [0.972, -3.852, 6.563], [-5.696, -0.339, 5.128]],
  "species": ["Ag", "Ag", "Ag", "Ag", "Ag", "Ag", "Ca", "In", "Sr", "Sr"],
  "frac_coords": [[0.756, 0.756, 0.488], [0.244, 0.244, 0.000], [0.756, 0.756, 0.000], [0.244, 0.756, 0.000], [0.756, 0.244, 0.000], [0.244, 0.244, 0.512], [0.500, 0.500, 0.000], [0.000, 0.000, 0.000], [0.750, 0.250, 0.500], [0.250, 0.750, 0.500]]
}


# 3
{
  "formula": "Sr2Zn3Pb",
  "functional": "PBE",
  "state": "optimized geometry",
  "ef_ev_per_atom": -0.308,
  "lattice_angstrom": [[-3.834, -3.403, -3.720], [3.270, 2.940, -4.559], [5.780, -5.930, 4.111]],
  "species": ["Pb", "Pb", "Zn", "Zn", "Zn", "Zn", "Zn", "Zn", "Sr", "Sr", "Sr", "Sr"],
  "frac_coords": [[0.665, 0.665, 0.329], [0.335, 0.335, 0.671], [0.321, 0.838, 0.158], [0.160, 0.160, 0.321], [0.838, 0.321, 0.158], [0.679, 0.162, 0.842], [0.162, 0.679, 0.842], [0.840, 0.840, 0.679], [0.243, 0.243, 0.000], [0.250, 0.750, 0.500], [0.750, 0.250, 0.500], [0.757, 0.757, 0.000]]
}


# 4
{
  "formula": "Li2LaHPt",
  "functional": "PBE",
  "state": "optimized geometry",
  "total_energy_ev_per_atom": -4.246,
  "lattice_angstrom": [[4.062, 0.000, 0.000], [0.000, 4.062, 0.000], [0.000, 0.000, 5.107]],
  "species": ["Li", "Li", "La", "H", "Pt"],
  "frac_coords": [[0.500, 0.000, 0.000], [0.000, 0.500, 0.000], [0.000, 0.000, 0.500], [0.000, 0.000, 0.000], [0.500, 0.500, 0.500]]
}